No. 1
Entry from the Alexandria database: a relaxed As2RuPt crystal (PBE-GGA).

Calculated values
Total moment in μB/f.u.: 0.00
Total energy in eV per cell: -24.6
DFT formation energy in eV/f.u.: 0.0
E above lowest polymorph in eV per atom: 0.143

Cell: 3.1131 5.2215 5.2546 Å, 47.98 90.00 90.00°
Positions (direct):
Ru  0.0000  0.0000  0.5000
As  0.0000  0.0000  0.0000
As  0.5000  0.5000  0.0000
Pt  0.5000  0.5000  0.5000

---

No. 2
Entry from the Alexandria database: a relaxed AsRu2Pt crystal (PBE-GGA).

Calculated values
Total moment in μB/f.u.: 0.00
Total energy in eV per cell: -28.8
DFT formation energy in eV/f.u.: 0.5

Cell: 4.5551 4.5551 4.5551 Å, 126.62 126.62 78.86°
Positions (direct):
Ru  0.0000  0.0000  0.0000
Ru  0.5000  0.5000  0.0000
As  0.2500  0.7500  0.5000
Pt  0.7500  0.2500  0.5000